Record 1
Entry from Alexandria: a relaxed structure of La2TaSe2 (PBE).

Values from the calculation:
As for the density of states at the Fermi level: 4.33 states/eV/f.u. Its total energy is -6.613 eV per atom. The total moment is 0.77 μB/f.u.

Cell: 7.726 7.726 4.096 Å, 90.00 90.00 90.00°
Sites, in units of the cell vectors:
La 0.161 0.339 0.000
La 0.339 0.839 0.000
La 0.661 0.161 0.000
La 0.839 0.661 0.000
Ta 0.000 0.000 0.500
Ta 0.500 0.500 0.500
Se 0.152 0.652 0.500
Se 0.348 0.152 0.500
Se 0.652 0.848 0.500
Se 0.848 0.348 0.500



Record 2
Entry from Alexandria: a relaxed structure of AuC2 (PBE).

Values from the calculation:
Its relative energy among the computed polymorphs is 185.7 kJ per mole of atoms. As for the density of states at the Fermi level: 2.15 states/eV/f.u. As for the formation energy: 2191 meV/atom. The total moment is 0.79 μB/f.u.

Cell: 4.539 4.539 4.539 Å, 111.86 111.86 104.80°
Sites, in units of the cell vectors:
Au 0.250 0.250 0.000
Au 0.750 0.750 0.000
C 0.092 0.592 0.683
C 0.408 0.092 0.500
C 0.592 0.908 0.500
C 0.908 0.408 0.317



Record 3
Entry from Alexandria: a relaxed structure of YIrPt2 (PBE).

Values from the calculation:
As for the density of states at the Fermi level: 1.40 states/eV/f.u. As for the formation energy: -411 meV/atom. The total moment is 0.00 μB/f.u.

Cell: 4.671 4.671 4.671 Å, 60.00 60.00 60.00°
Sites, in units of the cell vectors:
Y 0.000 0.000 0.000
Ir 0.500 0.500 0.500
Pt 0.250 0.250 0.250
Pt 0.750 0.750 0.750



Record 4
Entry from Alexandria: a relaxed structure of NaLaCe2Se4 (PBE).

Values from the calculation:
As for the density of states at the Fermi level: 13.95 states/eV/f.u. Its total energy is -5.765 eV per atom. The total moment is 2.46 μB/f.u.

Cell: 7.339 4.241 7.440 Å, 90.00 109.23 90.00°
Sites, in units of the cell vectors:
Na 0.000 0.000 0.000
La 0.500 0.500 0.000
Ce 0.000 0.500 0.500
Ce 0.500 0.000 0.500
Se 0.245 0.000 0.747
Se 0.250 0.500 0.254
Se 0.750 0.500 0.746
Se 0.755 0.000 0.253



Record 5
Entry from Alexandria: a relaxed structure of Ba2ZrRh (PBE).

Values from the calculation:
Its relative energy among the computed polymorphs is 60.0 kJ per mole of atoms. As for the density of states at the Fermi level: 5.59 states/eV/f.u. As for the formation energy: 561 meV/atom. The total moment is 1.50 μB/f.u.

Cell: 10.677 10.677 10.677 Å, 20.36 20.36 20.36°
Sites, in units of the cell vectors:
Ba 0.235 0.235 0.235
Ba 0.765 0.765 0.765
Zr 0.000 0.000 0.000
Rh 0.500 0.500 0.500



Record 6
Entry from Alexandria: a relaxed structure of BaTaBe2 (PBE).

Values from the calculation:
Its relative energy among the computed polymorphs is 65.2 kJ per mole of atoms. As for the density of states at the Fermi level: 3.73 states/eV/f.u. As for the formation energy: 1118 meV/atom. The total moment is 0.00 μB/f.u.

Cell: 4.922 4.922 4.922 Å, 124.80 110.02 94.99°
Sites, in units of the cell vectors:
Ba 0.000 0.000 0.000
Ta 0.500 0.500 0.000
Be 0.324 0.824 0.500
Be 0.676 0.176 0.500



Record 7
Entry from Alexandria: a relaxed structure of Nd5CoSb2 (PBE).

Values from the calculation:
Its relative energy among the computed polymorphs is 29.3 kJ per mole of atoms. As for the density of states at the Fermi level: 8.00 states/eV/f.u. The total moment is 0.00 μB/f.u.

Cell: 6.874 6.874 6.874 Å, 114.51 114.51 99.81°
Sites, in units of the cell vectors:
Nd 0.000 0.000 0.000
Nd 0.487 0.487 0.499
Nd 0.487 0.988 0.000
Nd 0.988 0.487 0.000
Nd 0.988 0.988 0.501
Co 0.719 0.719 0.000
Sb 0.489 0.989 0.500
Sb 0.989 0.489 0.500



Record 8
Entry from Alexandria: a relaxed structure of BeAl3Fe4 (PBE).

Values from the calculation:
As for the density of states at the Fermi level: 7.71 states/eV/f.u. As for the formation energy: -275 meV/atom. The total moment is 3.95 μB/f.u.

Cell: 2.838 2.838 11.157 Å, 90.00 90.00 90.00°
Sites, in units of the cell vectors:
Be 0.000 0.000 0.000
Al 0.000 0.000 0.239
Al 0.000 0.000 0.500
Al 0.000 0.000 0.761
Fe 0.500 0.500 0.103
Fe 0.500 0.500 0.369
Fe 0.500 0.500 0.631
Fe 0.500 0.500 0.897



Record 9
Entry from Alexandria: a relaxed structure of TmZr2Sn (PBE).

Values from the calculation:
Its relative energy among the computed polymorphs is 12.0 kJ per mole of atoms. As for the density of states at the Fermi level: 4.68 states/eV/f.u. As for the formation energy: -327 meV/atom. The total moment is 0.00 μB/f.u.

Cell: 4.542 4.542 4.566 Å, 90.00 90.00 90.00°
Sites, in units of the cell vectors:
Tm 0.000 0.000 0.000
Zr 0.000 0.500 0.500
Zr 0.500 0.000 0.500
Sn 0.500 0.500 0.000



Record 10
Entry from Alexandria: a relaxed structure of CaCuPtN2 (PBE).

Values from the calculation:
As for the density of states at the Fermi level: 2.79 states/eV/f.u. Its total energy is -3.734 eV per atom. The total moment is 3.57 μB/f.u.

Cell: 4.287 4.287 5.118 Å, 90.00 90.00 90.00°
Sites, in units of the cell vectors:
Ca 0.000 0.000 0.000
Cu 0.000 0.000 0.500
Pt 0.500 0.500 0.500
N 0.000 0.500 0.000
N 0.500 0.000 0.000



Record 11
Entry from Alexandria: a relaxed structure of AcErPt2 (PBE).

Values from the calculation:
Its relative energy among the computed polymorphs is 0.0 kJ per mole of atoms. As for the density of states at the Fermi level: 2.04 states/eV/f.u. As for the formation energy: -1159 meV/atom. The total moment is 0.00 μB/f.u.

Cell: 6.128 4.716 7.551 Å, 90.00 113.18 90.00°
Sites, in units of the cell vectors:
Ac 0.209 0.250 0.379
Ac 0.791 0.750 0.621
Er 0.287 0.250 0.910
Er 0.713 0.750 0.090
Pt 0.185 0.750 0.081
Pt 0.334 0.750 0.706
Pt 0.666 0.250 0.294
Pt 0.815 0.250 0.919



Record 12
Entry from Alexandria: a relaxed structure of GaAs2Pt2 (PBE).

Values from the calculation:
Its relative energy among the computed polymorphs is 3.0 kJ per mole of atoms. As for the density of states at the Fermi level: 2.52 states/eV/f.u. As for the formation energy: -68 meV/atom. The total moment is 0.00 μB/f.u.

Cell: 7.756 7.756 2.968 Å, 90.00 90.00 90.00°
Sites, in units of the cell vectors:
Ga 0.000 0.000 0.000
Ga 0.500 0.500 0.000
As 0.139 0.361 0.500
As 0.361 0.861 0.500
As 0.639 0.139 0.500
As 0.861 0.639 0.500
Pt 0.163 0.663 0.000
Pt 0.337 0.163 0.000
Pt 0.663 0.837 0.000
Pt 0.837 0.337 0.000



Record 13
Entry from Alexandria: a relaxed structure of DyYI6 (PBE).

Values from the calculation:
Its relative energy among the computed polymorphs is 2.4 kJ per mole of atoms. As for the density of states at the Fermi level: 0.00 states/eV/f.u. The total moment is 0.00 μB/f.u.

Cell: 8.168 8.168 8.168 Å, 55.72 55.72 55.72°
Sites, in units of the cell vectors:
Dy 0.000 0.000 0.000
Y 0.500 0.500 0.500
I 0.091 0.750 0.408
I 0.250 0.592 0.909
I 0.408 0.091 0.750
I 0.592 0.909 0.250
I 0.750 0.408 0.091
I 0.909 0.250 0.592



Record 14
Entry from Alexandria: a relaxed structure of Pu2AlSi2Ru5 (PBE).

Values from the calculation:
As for the density of states at the Fermi level: 20.18 states/eV/f.u. Its total energy is -9.452 eV per atom. The total moment is 8.72 μB/f.u.

Cell: 10.030 10.030 3.182 Å, 90.00 90.00 90.00°
Sites, in units of the cell vectors:
Pu 0.174 0.326 0.000
Pu 0.326 0.826 0.000
Pu 0.674 0.174 0.000
Pu 0.826 0.674 0.000
Al 0.000 0.000 0.000
Al 0.500 0.500 0.000
Si 0.129 0.629 0.000
Si 0.371 0.129 0.000
Si 0.629 0.871 0.000
Si 0.871 0.371 0.000
Ru 0.000 0.500 0.500
Ru 0.062 0.794 0.500
Ru 0.206 0.062 0.500
Ru 0.294 0.562 0.500
Ru 0.438 0.294 0.500
Ru 0.500 0.000 0.500
Ru 0.562 0.706 0.500
Ru 0.706 0.438 0.500
Ru 0.794 0.938 0.500
Ru 0.938 0.206 0.500



Record 15
Entry from Alexandria: a relaxed structure of CrOs2Se (PBE).

Values from the calculation:
As for the density of states at the Fermi level: 4.46 states/eV/f.u. Its total energy is -8.433 eV per atom. The total moment is 0.00 μB/f.u.

Cell: 8.503 8.503 8.503 Å, 19.10 19.10 19.10°
Sites, in units of the cell vectors:
Cr 0.000 0.000 0.000
Os 0.253 0.253 0.253
Os 0.747 0.747 0.747
Se 0.500 0.500 0.500



Record 16
Entry from Alexandria: a relaxed structure of DyErPa2Sb4 (PBE).

Values from the calculation:
As for the density of states at the Fermi level: 12.21 states/eV/f.u. Its total energy is -6.339 eV per atom. The total moment is 2.07 μB/f.u.

Cell: 7.550 4.361 7.604 Å, 90.00 109.36 90.00°
Sites, in units of the cell vectors:
Dy 0.000 0.000 0.000
Er 0.500 0.500 0.000
Pa 0.000 0.500 0.500
Pa 0.500 0.000 0.500
Sb 0.250 0.500 0.247
Sb 0.252 0.000 0.754
Sb 0.748 0.000 0.246
Sb 0.750 0.500 0.753



Record 17
Entry from Alexandria: a relaxed structure of PrSm2Dy5Ho (PBE).

Values from the calculation:
As for the density of states at the Fermi level: 10.38 states/eV/f.u. As for the formation energy: 272 meV/atom. The total moment is 0.00 μB/f.u.

Cell: 9.850 9.850 9.850 Å, 126.94 126.94 78.34°
Sites, in units of the cell vectors:
Pr 0.250 0.250 0.000
Pr 0.750 0.750 0.000
Sm 0.116 0.616 0.731
Sm 0.384 0.116 0.500
Sm 0.616 0.884 0.500
Sm 0.884 0.384 0.269
Dy 0.000 0.000 0.000
Dy 0.073 0.156 0.500
Dy 0.156 0.656 0.083
Dy 0.344 0.427 0.500
Dy 0.427 0.927 0.083
Dy 0.500 0.500 0.000
Dy 0.573 0.073 0.917
Dy 0.656 0.573 0.500
Dy 0.844 0.344 0.917
Dy 0.927 0.844 0.500
Ho 0.250 0.750 0.500
Ho 0.750 0.250 0.500



Record 18
Entry from Alexandria: a relaxed structure of SrRhSe2O6 (PBE).

Values from the calculation:
As for the density of states at the Fermi level: 3.65 states/eV/f.u. Its total energy is -5.516 eV per atom. The total moment is 0.76 μB/f.u.

Cell: 6.376 6.376 6.376 Å, 51.68 51.68 51.68°
Sites, in units of the cell vectors:
Sr 0.000 0.000 0.000
Rh 0.500 0.500 0.500
Se 0.254 0.254 0.254
Se 0.746 0.746 0.746
O 0.117 0.713 0.455
O 0.287 0.545 0.883
O 0.455 0.117 0.713
O 0.545 0.883 0.287
O 0.713 0.455 0.117
O 0.883 0.287 0.545



Record 19
Entry from Alexandria: a relaxed structure of LaTbPm4Nd2 (PBE).

Values from the calculation:
As for the density of states at the Fermi level: 13.01 states/eV/f.u. As for the formation energy: 17 meV/atom. The total moment is 0.00 μB/f.u.

Cell: 6.316 3.671 12.180 Å, 90.00 100.30 90.00°
Sites, in units of the cell vectors:
La 0.000 0.000 0.000
Tb 0.500 0.500 0.000
Pm 0.250 0.000 0.751
Pm 0.251 0.500 0.250
Pm 0.749 0.500 0.750
Pm 0.750 0.000 0.249
Nd 0.000 0.500 0.500
Nd 0.500 0.000 0.500



Record 20
Entry from Alexandria: a relaxed structure of CaTlBr2 (PBE).

Values from the calculation:
Its relative energy among the computed polymorphs is 36.3 kJ per mole of atoms. As for the density of states at the Fermi level: 2.35 states/eV/f.u. The total moment is 0.00 μB/f.u.

Cell: 5.429 5.429 4.110 Å, 90.00 90.00 97.48°
Sites, in units of the cell vectors:
Ca 0.000 0.000 0.000
Tl 0.500 0.500 0.000
Br 0.000 0.500 0.500
Br 0.500 0.000 0.500



Record 21
Entry from Alexandria: a relaxed structure of CaMnCu2Ir (PBE).

Values from the calculation:
As for the density of states at the Fermi level: 3.52 states/eV/f.u. As for the formation energy: 454 meV/atom. The total moment is 2.51 μB/f.u.

Cell: 4.587 4.587 4.516 Å, 90.00 90.00 90.00°
Sites, in units of the cell vectors:
Ca 0.000 0.000 0.000
Mn 0.500 0.500 0.500
Cu 0.000 0.500 0.500
Cu 0.500 0.000 0.500
Ir 0.500 0.500 0.000



Record 22
Entry from Alexandria: a relaxed structure of Gd2TlBi (PBE).

Values from the calculation:
Its relative energy among the computed polymorphs is 4.5 kJ per mole of atoms. As for the density of states at the Fermi level: 2.97 states/eV/f.u. As for the formation energy: -517 meV/atom. The total moment is 14.32 μB/f.u.

Cell: 8.465 8.465 8.465 Å, 29.23 29.23 29.23°
Sites, in units of the cell vectors:
Gd 0.247 0.247 0.247
Gd 0.753 0.753 0.753
Tl 0.000 0.000 0.000
Bi 0.500 0.500 0.500



Record 23
Entry from Alexandria: a relaxed structure of PrDyPu (PBE).

Values from the calculation:
Its relative energy among the computed polymorphs is 0.0 kJ per mole of atoms. As for the density of states at the Fermi level: 6.85 states/eV/f.u. As for the formation energy: 130 meV/atom. The total moment is 6.17 μB/f.u.

Cell: 7.925 7.925 7.925 Å, 154.06 154.06 37.02°
Sites, in units of the cell vectors:
Pr 0.000 0.000 0.000
Dy 0.326 0.326 0.000
Pu 0.667 0.667 0.000



Record 24
Entry from Alexandria: a relaxed structure of NdSbPd3 (PBE).

Values from the calculation:
As for the density of states at the Fermi level: 3.08 states/eV/f.u. Its total energy is -5.569 eV per atom. The total moment is 0.00 μB/f.u.

Cell: 6.737 6.737 6.737 Å, 131.59 106.43 93.07°
Sites, in units of the cell vectors:
Nd 0.250 0.000 0.250
Nd 0.750 0.000 0.750
Sb 0.000 0.500 0.500
Sb 0.500 0.500 0.000
Pd 0.189 0.000 0.689
Pd 0.189 0.500 0.189
Pd 0.433 0.683 0.750
Pd 0.567 0.317 0.250
Pd 0.811 0.000 0.311
Pd 0.811 0.500 0.811